Below is a geometry-optimized DyYSn4 structure, with properties calculated at the PBE-GGA level.

The structure in POSCAR format:
```
DyYSn4
1.0
-3.392 1.706 2.110
5.294 3.951 5.316
4.658 6.799 1.991
Dy Sn Y
1 4 1
direct
0.000 0.599 0.599
0.500 0.064 0.064
0.000 0.248 0.248
0.500 0.751 0.751
0.000 0.937 0.937
0.500 0.401 0.401
```

Computed properties:
Calculated total energy = -5.1147 eV per atom
Space-group type = Amm2, No. 38

---

Below is a geometry-optimized DyYZn2Sn2 structure, with properties calculated at the PBE-GGA level.

The structure in POSCAR format:
```
DyYZn2Sn2
1.0
-0.203 1.604 4.208
-0.252 -4.441 -0.734
15.757 -1.088 1.175
Dy Sn Y Zn
2 4 2 4
direct
0.000 0.000 0.000
0.000 0.000 0.500
0.667 0.333 0.113
0.667 0.333 0.387
0.333 0.667 0.613
0.333 0.667 0.887
0.000 0.000 0.250
0.000 0.000 0.750
0.333 0.667 0.161
0.333 0.667 0.339
0.667 0.333 0.661
0.667 0.333 0.839
```

Computed properties:
Space-group type = P6_3/mmc, No. 194
Polymorph energy (0 for the lowest one) = 3.2 kJ/mol of formula units

---

Below is a geometry-optimized DyYZn2Sn2 structure, with properties calculated at the PBE-GGA level.

The structure in POSCAR format:
```
DyYZn2Sn2
1.0
4.506 0.000 0.000
-2.253 3.902 0.000
0.000 0.000 15.825
Dy Sn Y Zn
2 4 2 4
direct
0.000 0.000 0.250
0.000 0.000 0.750
0.667 0.333 0.114
0.667 0.333 0.386
0.333 0.667 0.614
0.333 0.667 0.886
0.000 0.000 0.000
0.000 0.000 0.500
0.333 0.667 0.161
0.333 0.667 0.339
0.667 0.333 0.661
0.667 0.333 0.839
```

Computed properties:
Space-group type = P6_3/mmc, No. 194
Polymorph energy (0 for the lowest one) = 0.0 kJ/mol of formula units

---

Below is a geometry-optimized DyZr3Sn structure, with properties calculated at the PBE-GGA level.

The structure in POSCAR format:
```
DyZr3Sn
1.0
11.044 0.000 0.000
-5.522 9.564 0.000
0.000 0.000 5.764
Dy Sn Zr
2 2 6
direct
0.667 0.333 0.250
0.333 0.667 0.750
0.000 0.000 0.250
0.000 0.000 0.750
0.188 0.376 0.250
0.188 0.812 0.250
0.624 0.812 0.250
0.376 0.188 0.750
0.812 0.188 0.750
0.812 0.624 0.750
```

Computed properties:
Calculated total energy = -4.2388 eV per atom
Space-group type = P6_3/mmc, No. 194

---

Below is a geometry-optimized DyZr6Sn4 structure, with properties calculated at the PBE-GGA level.

The structure in POSCAR format:
```
DyZr6Sn4
1.0
3.049 1.761 8.017
-3.049 1.761 8.017
0.000 -3.521 8.017
Dy Sn Zr
1 4 6
direct
0.000 0.000 0.000
0.124 0.124 0.124
0.333 0.333 0.333
0.667 0.667 0.667
0.876 0.876 0.876
0.604 0.604 0.107
0.893 0.396 0.396
0.396 0.893 0.396
0.604 0.107 0.604
0.107 0.604 0.604
0.396 0.396 0.893
```

Computed properties:
Calculated total energy = -7.0536 eV per atom
Space-group type = R-3m, No. 166

---

Below is a geometry-optimized SrDy2 structure, with properties calculated at the PBE-GGA level.

The structure in POSCAR format:
```
SrDy2
1.0
0.000 4.889 4.889
4.889 0.000 4.889
4.889 4.889 0.000
Dy Sr
4 2
direct
0.625 0.625 0.125
0.625 0.125 0.625
0.125 0.625 0.625
0.625 0.625 0.625
0.000 0.000 0.000
0.250 0.250 0.250
```

Computed properties:
Calculated total energy = -3.3993 eV per atom
Space-group type = Fd-3m, No. 227

---

Below is a geometry-optimized Sr2Dy structure, with properties calculated at the PBE-GGA level.

The structure in POSCAR format:
```
Sr2Dy
1.0
1.861 2.437 6.592
-3.319 5.837 2.788
-4.594 -0.752 5.584
Dy Sr
2 4
direct
0.000 0.000 0.000
0.250 0.250 0.250
0.625 0.625 0.125
0.625 0.125 0.625
0.125 0.625 0.625
0.625 0.625 0.625
```

Computed properties:
Calculated total energy = -2.1509 eV per atom
Space-group type = Fd-3m, No. 227

---

Below is a geometry-optimized SrDyTa structure, with properties calculated at the PBE-GGA level.

The structure in POSCAR format:
```
SrDyTa
1.0
0.000 3.735 3.735
3.735 0.000 3.735
3.735 3.735 0.000
Dy Sr Ta
1 1 1
direct
0.000 0.000 0.000
0.250 0.250 0.250
0.750 0.750 0.750
```

Computed properties:
Calculated total energy = -4.4790 eV per atom
Space-group type = F-43m, No. 216

---

Below is a geometry-optimized SrDyTh structure, with properties calculated at the PBE-GGA level.

The structure in POSCAR format:
```
SrDyTh
1.0
0.000 4.008 4.008
4.008 0.000 4.008
4.008 4.008 0.000
Dy Sr Th
1 1 1
direct
0.000 0.000 0.000
0.250 0.250 0.250
0.750 0.750 0.750
```

Computed properties:
Space-group type = F-43m, No. 216
Polymorph energy (0 for the lowest one) = 0.0 kJ/mol of formula units

---

Below is a geometry-optimized SrDyTl structure, with properties calculated at the PBE-GGA level.

The structure in POSCAR format:
```
SrDyTl
1.0
0.000 3.833 3.833
3.833 0.000 3.833
3.833 3.833 0.000
Dy Sr Tl
1 1 1
direct
0.250 0.250 0.250
0.750 0.750 0.750
0.000 0.000 0.000
```

Computed properties:
Calculated total energy = -2.9305 eV per atom
Space-group type = F-43m, No. 216

---

Below is a geometry-optimized SrDyU structure, with properties calculated at the PBE-GGA level.

The structure in POSCAR format:
```
SrDyU
1.0
0.000 3.958 3.958
3.958 0.000 3.958
3.958 3.958 0.000
Dy Sr U
1 1 1
direct
0.000 0.000 0.000
0.250 0.250 0.250
0.750 0.750 0.750
```

Computed properties:
Space-group type = F-43m, No. 216
Polymorph energy (0 for the lowest one) = 0.0 kJ/mol of formula units

---

Below is a geometry-optimized SrDyZr structure, with properties calculated at the PBE-GGA level.

The structure in POSCAR format:
```
SrDyZr
1.0
-3.992 -3.692 -0.860
-4.761 0.405 2.735
-4.588 1.476 -2.662
Dy Sr Zr
1 1 1
direct
0.250 0.250 0.250
0.750 0.750 0.750
0.000 0.000 0.000
```

Computed properties:
Space-group type = F-43m, No. 216
Polymorph energy (0 for the lowest one) = 0.0 kJ/mol of formula units

---

Below is a geometry-optimized DyTa2 structure, with properties calculated at the PBE-GGA level.

The structure in POSCAR format:
```
DyTa2
1.0
0.957 -4.784 7.043
7.119 0.695 4.716
-0.330 3.658 7.741
Dy Ta
2 4
direct
0.250 0.250 0.250
0.500 0.500 0.500
0.375 0.875 0.375
0.875 0.375 0.375
0.375 0.375 0.375
0.375 0.375 0.875
```

Computed properties:
Energy of formation = 13.8 eV/f.u.
Space-group type = Fd-3m, No. 227
Polymorph energy (0 for the lowest one) = 1254.4 kJ/mol of formula units

---

Below is a geometry-optimized DyTa structure, with properties calculated at the PBE-GGA level.

The structure in POSCAR format:
```
DyTa
1.0
-1.803 -2.233 -3.030
-3.361 1.491 -1.974
0.296 1.249 -3.971
Dy Ta
1 1
direct
0.000 0.000 0.000
0.500 0.500 0.500
```

Computed properties:
Energy of formation = 3.0 eV/f.u.
Space-group type = Fm-3m, No. 225
Polymorph energy (0 for the lowest one) = 200.3 kJ/mol of formula units

---

Below is a geometry-optimized DyTa structure, with properties calculated at the PBE-GGA level.

The structure in POSCAR format:
```
DyTa
1.0
-1.238 -2.384 -1.684
2.522 -0.510 1.853
-3.197 -1.184 4.025
Dy Ta
1 1
direct
0.667 0.333 0.750
0.333 0.667 0.250
```

Computed properties:
Energy of formation = 1.0 eV/f.u.
Space-group type = P-6m2, No. 187
Polymorph energy (0 for the lowest one) = 0.0 kJ/mol of formula units

---

Below is a geometry-optimized DyTa structure, with properties calculated at the PBE-GGA level.

The structure in POSCAR format:
```
DyTa
1.0
-1.868 -3.926 -1.249
0.980 -3.792 2.264
-3.135 -1.947 2.617
Dy Ta
1 1
direct
0.000 0.000 0.000
0.250 0.250 0.250
```

Computed properties:
Energy of formation = 5.8 eV/f.u.
Space-group type = F-43m, No. 216
Polymorph energy (0 for the lowest one) = 462.6 kJ/mol of formula units

---

Below is a geometry-optimized DyTa structure, with properties calculated at the PBE-GGA level.

The structure in POSCAR format:
```
DyTa
1.0
-2.621 2.440 -0.229
0.999 -1.839 -2.915
-5.290 -5.524 1.672
Dy Ta
2 2
direct
0.000 0.000 0.000
0.000 0.000 0.500
0.667 0.333 0.250
0.333 0.667 0.750
```

Computed properties:
Energy of formation = 2.4 eV/f.u.
Space-group type = P6_3/mmc, No. 194
Polymorph energy (0 for the lowest one) = 141.0 kJ/mol of formula units

---

Below is a geometry-optimized TbDyTa structure, with properties calculated at the PBE-GGA level.

The structure in POSCAR format:
```
TbDyTa
1.0
0.000 3.535 3.535
3.535 0.000 3.535
3.535 3.535 0.000
Dy Ta Tb
1 1 1
direct
0.000 0.000 0.000
0.250 0.250 0.250
0.750 0.750 0.750
```

Computed properties:
Energy of formation = 3.9 eV/f.u.
Space-group type = F-43m, No. 216

---

Below is a geometry-optimized DyTaTc structure, with properties calculated at the PBE-GGA level.

The structure in POSCAR format:
```
DyTaTc
1.0
1.471 0.100 4.282
-2.781 1.327 3.320
-1.550 -3.020 2.998
Dy Ta Tc
1 1 1
direct
0.000 0.000 0.000
0.250 0.250 0.250
0.750 0.750 0.750
```

Computed properties:
Energy of formation = 4.5 eV/f.u.
Space-group type = F-43m, No. 216

---

Below is a geometry-optimized DyTaTe structure, with properties calculated at the PBE-GGA level.

The structure in POSCAR format:
```
DyTaTe
1.0
3.433 0.669 3.272
-0.024 3.938 2.726
-1.041 -0.322 4.664
Dy Ta Te
1 1 1
direct
0.250 0.250 0.250
0.750 0.750 0.750
0.000 0.000 0.000
```

Computed properties:
Space-group type = F-43m, No. 216
Polymorph energy (0 for the lowest one) = 0.0 kJ/mol of formula units